P:
The following is a PBE calculation of a relaxed NdSm5Y4 crystal, from Alexandria via LeMat-Bulk.

Output
- ρ: 6.1 g/cm³
- V: 33.877 A^3/atom

abc: 3.509 6.852 14.312
angles: 97.21 97.04 90.00
Positions (direct):
Sm (0.500, 0.500, 0.000)
Y (0.609, 0.809, 0.218)
Sm (0.799, 0.400, 0.597)
Y (0.906, 0.700, 0.811)
Nd (0.500, 0.000, 0.000)
Y (0.094, 0.300, 0.189)
Sm (0.794, 0.896, 0.587)
Sm (0.206, 0.104, 0.413)
Y (0.391, 0.191, 0.782)
Sm (0.201, 0.600, 0.403)


Q:
The following is a PBE calculation of a relaxed NdSm5Y4 crystal, from Alexandria via LeMat-Bulk.

Output
- ρ: 6.1 g/cm³
- V: 34.230 A^3/atom

abc: 6.064 8.102 8.102
angles: 81.95 68.02 68.02
Positions (direct):
Nd (0.215, 0.000, 0.000)
Sm (0.138, 0.622, 0.000)
Y (0.779, 0.675, 0.675)
Y (0.454, 0.325, 0.675)
Y (0.129, 0.325, 0.325)
Sm (0.761, 0.378, 0.000)
Sm (0.138, 0.000, 0.622)
Sm (0.760, 0.000, 0.378)
Sm (0.683, 0.000, 0.000)
Y (0.454, 0.675, 0.325)


Stability, descending: P, Q


P:
The following is a PBE calculation of a relaxed NdSm6Y2 crystal, from Alexandria via LeMat-Bulk.

Output
- ρ: 6.7 g/cm³
- V: 33.909 A^3/atom

abc: 6.220 7.528 7.528
angles: 59.99 89.98 89.98
Each line ends with the local moment (μB).
Positions (direct):
Sm (0.294, 0.812, 0.812)  0.06
Sm (0.294, 0.375, 0.813)  0.06
Sm (0.706, 0.187, 0.625)  0.06
Y (0.788, 0.666, 0.666)  0.05
Sm (0.706, 0.625, 0.187)  0.06
Sm (0.294, 0.813, 0.375)  0.06
Sm (0.706, 0.188, 0.188)  0.06
Y (0.212, 0.334, 0.334)  0.05
Nd (0.000, 0.000, 0.000)  0.01


Q:
The following is a PBE calculation of a relaxed NdSm6Y2 crystal, from Alexandria via LeMat-Bulk.

Output
- ρ: 6.5 g/cm³
- V: 34.531 A^3/atom

abc: 3.481 6.149 17.765
angles: 117.72 84.38 73.56
Positions (direct):
Sm (0.436, 0.191, 0.937)
Nd (0.500, 0.500, 0.500)
Y (0.168, 0.499, 0.166)
Y (0.832, 0.501, 0.834)
Sm (0.772, 0.187, 0.269)
Sm (0.899, 0.807, 0.395)
Sm (0.564, 0.809, 0.063)
Sm (0.228, 0.813, 0.731)
Sm (0.101, 0.193, 0.605)


Stability, descending: Q, P


P:
The following is a PBE calculation of a relaxed Nd2Sm7Y crystal, from Alexandria via LeMat-Bulk.

Output
- ρ: 7.0 g/cm³
- V: 33.958 A^3/atom

abc: 6.295 9.619 9.619
angles: 141.81 109.08 77.43
Positions (direct):
Sm (0.000, 0.401, 0.600)
Sm (0.999, 0.799, 0.199)
Nd (0.501, 0.899, 0.600)
Nd (0.499, 0.101, 0.400)
Sm (0.500, 0.300, 0.200)
Sm (0.500, 0.700, 0.800)
Sm (0.500, 0.500, 0.000)
Sm (0.000, 0.599, 0.400)
Sm (0.001, 0.201, 0.801)
Y (0.000, 0.000, 0.000)


Q:
The following is a PBE calculation of a relaxed Nd2Sm7Y crystal, from Alexandria via LeMat-Bulk.

Output
- ρ: 6.9 g/cm³
- V: 34.430 A^3/atom

abc: 3.509 15.044 15.044
angles: 154.31 90.00 90.00
Positions (direct):
Nd (0.500, 0.705, 0.295)
Y (0.000, 0.000, 0.000)
Nd (0.500, 0.295, 0.705)
Sm (0.000, 0.812, 0.188)
Sm (0.500, 0.343, 0.147)
Sm (0.500, 0.147, 0.343)
Sm (0.500, 0.657, 0.853)
Sm (0.500, 0.853, 0.657)
Sm (0.000, 0.188, 0.812)
Sm (0.500, 0.500, 0.500)


Stability, descending: P, Q